Compound: ScPaAlO6
Source: the Alexandria database
Functional: GGA-PBE
Structure: optimized geometry

Cell and atoms, written as extended XYZ:
```
18
Lattice="4.800 0.000 0.000 0.000 4.800 0.000 0.000 0.000 9.637" Properties=species:S:1:pos:R:3 pbc="T T T"
O 1.487 1.487 9.476
O 3.786 1.015 8.063
O 3.415 3.415 3.245
O 1.015 3.786 8.063
O 0.878 3.923 1.726
O 0.913 3.887 4.657
O 3.313 3.313 9.476
O 3.887 0.913 4.657
O 1.523 1.523 6.545
O 3.278 3.278 6.545
O 1.386 1.386 3.245
O 3.923 0.878 1.726
Pa 2.400 2.400 1.603
Pa 0.000 0.000 6.422
Al 0.000 0.000 3.218
Al 2.400 2.400 8.037
Sc 2.400 2.400 4.833
Sc 0.000 0.000 0.015
```

Results
SG = P4_2nm
Crystal system = tetragonal
ΔE_f (raw) = -3051 meV/atom